# MgAgRu2

An optimized crystal structure of MgAgRu2 (GGA-PBEsol, Alexandria via LeMat-Bulk).

Calculated values
Calculated total energy (eV/atom): -5.93
Mass density (g cm⁻³): 9.3
E_form (kcal/mol of atoms): 9.63
M_tot (μB per atom): 0.07

Cell: 3.709 3.709 5.083 Å, 111.40 111.40 90.00°
Each line ends with the local moment (μB).
Positions (direct):
Ag1 0.500 0.500 0.000  0.01
Mg1 0.000 0.000 0.000  0.00
Ru1 0.750 0.250 0.500  0.14
Ru2 0.250 0.750 0.500  0.14